No. 1
# La6CeNd2Sc

A geometry-optimized La6CeNd2Sc structure (GGA-PBE, the Alexandria database).

Structure (CIF):
```
data_La6CeNd2Sc
_chemical_formula_sum 'La12 Ce2 Nd4 Sc2'
_space_group_name_H-M_alt 'C 1 2/m 1'
_space_group_IT_number 12
_space_group_name_Hall '-C 2y'
_cell_length_a 11.6965
_cell_length_b 7.1039
_cell_length_c 8.8876
_cell_angle_alpha 90.00
_cell_angle_beta 107.60
_cell_angle_gamma 90.00
loop_
_atom_site_label
_atom_site_type_symbol
_atom_site_fract_x
_atom_site_fract_y
_atom_site_fract_z
La1 La 0.1255 0.0000 0.4080
La2 La 0.1713 0.2635 0.7878
Ce1 Ce 0.0000 0.0000 0.0000
Nd1 Nd 0.0937 0.5000 0.1808
Sc1 Sc 0.0000 0.5000 0.5000
```

Results
Raw total energy (eV/atom): -4.935
Energy relative to the elements (eV/atom): 0.202
Crystal system: monoclinic

No. 2
# Hf3Pd8

A geometry-optimized Hf3Pd8 structure (GGA-PBE, the Alexandria database).

Structure (CIF):
```
data_Hf3Pd8
_chemical_formula_sum 'Hf9 Pd24'
_space_group_name_H-M_alt 'R -3'
_space_group_IT_number 148
_space_group_name_Hall '-R 3'
_cell_length_a 10.1649
_cell_length_b 10.1649
_cell_length_c 6.8014
_cell_angle_alpha 90.00
_cell_angle_beta 90.00
_cell_angle_gamma 120.00
loop_
_atom_site_label
_atom_site_type_symbol
_atom_site_fract_x
_atom_site_fract_y
_atom_site_fract_z
Hf1 Hf 0.0000 0.5000 0.0000
Pd1 Pd 0.0000 0.0000 0.2928
Pd2 Pd 0.0457 0.2698 0.9527
```

Results
Raw total energy (eV/atom): -6.866
Energy relative to the elements (eV/atom): -0.375
Crystal system: trigonal

No. 3
# KTaHg

A geometry-optimized KTaHg structure (GGA-PBE, the Alexandria database).

Structure (CIF):
```
data_KTaHg
_chemical_formula_sum 'K4 Ta4 Hg4'
_space_group_name_H-M_alt 'P n m a'
_space_group_IT_number 62
_space_group_name_Hall '-P 2ac 2n'
_cell_length_a 13.1325
_cell_length_b 5.3642
_cell_length_c 5.2637
_cell_angle_alpha 90.00
_cell_angle_beta 90.00
_cell_angle_gamma 90.00
loop_
_atom_site_label
_atom_site_type_symbol
_atom_site_fract_x
_atom_site_fract_y
_atom_site_fract_z
K1 K 0.2493 0.2500 0.2441
Ta1 Ta 0.0001 0.2500 0.5036
Hg1 Hg 0.0000 0.0000 0.0000
```

Results
Raw total energy (eV/atom): -3.719
Energy relative to the elements (eV/atom): 0.698
Crystal system: orthorhombic

No. 4
# PrY6Er2Th3

A geometry-optimized PrY6Er2Th3 structure (GGA-PBE, the Alexandria database).

Structure (CIF):
```
data_PrY6Er2Th3
_chemical_formula_sum 'Pr2 Y12 Er4 Th6'
_space_group_name_H-M_alt 'C 1 2/m 1'
_space_group_IT_number 12
_space_group_name_Hall '-C 2y'
_cell_length_a 6.2048
_cell_length_b 10.7479
_cell_length_c 11.7873
_cell_angle_alpha 90.00
_cell_angle_beta 100.13
_cell_angle_gamma 90.00
loop_
_atom_site_label
_atom_site_type_symbol
_atom_site_fract_x
_atom_site_fract_y
_atom_site_fract_z
Pr1 Pr 0.0000 0.0000 0.0000
Y1 Y 0.2479 0.3330 0.7454
Y2 Y 0.2493 0.0000 0.7456
Er1 Er 0.0000 0.3332 0.0000
Th1 Th 0.0000 0.1662 0.5000
Th2 Th 0.0000 0.5000 0.5000
```

Results
Raw total energy (eV/atom): -6.221
Energy relative to the elements (eV/atom): 0.024
Crystal system: monoclinic

No. 5
# Y2CoOs

A geometry-optimized Y2CoOs structure (GGA-PBE, the Alexandria database).

Structure (CIF):
```
data_Y2CoOs
_chemical_formula_sum 'Y6 Co3 Os3'
_space_group_name_H-M_alt 'R -3 m'
_space_group_IT_number 166
_space_group_name_Hall '-R 3 2"'
_cell_length_a 3.3857
_cell_length_b 3.3857
_cell_length_c 24.7011
_cell_angle_alpha 90.00
_cell_angle_beta 90.00
_cell_angle_gamma 120.00
loop_
_atom_site_label
_atom_site_type_symbol
_atom_site_fract_x
_atom_site_fract_y
_atom_site_fract_z
Y1 Y 0.0000 0.0000 0.2479
Co1 Co 0.0000 0.0000 0.5000
Os1 Os 0.0000 0.0000 0.0000
```

Results
Raw total energy (eV/atom): -7.480
Energy relative to the elements (eV/atom): 0.336
Crystal system: trigonal

No. 6
# Pr7Dy3Er2

A geometry-optimized Pr7Dy3Er2 structure (GGA-PBE, the Alexandria database).

Structure (CIF):
```
data_Pr7Dy3Er2
_chemical_formula_sum 'Pr14 Dy6 Er4'
_space_group_name_H-M_alt 'C m m m'
_space_group_IT_number 65
_space_group_name_Hall '-C 2 2'
_cell_length_a 5.8540
_cell_length_b 38.5511
_cell_length_c 3.6434
_cell_angle_alpha 90.00
_cell_angle_beta 90.00
_cell_angle_gamma 90.00
loop_
_atom_site_label
_atom_site_type_symbol
_atom_site_fract_x
_atom_site_fract_y
_atom_site_fract_z
Pr1 Pr 0.0000 0.0000 0.0000
Pr2 Pr 0.0000 0.0732 0.5000
Pr3 Pr 0.0000 0.2324 0.0000
Pr4 Pr 0.0000 0.4064 0.0000
Dy1 Dy 0.0000 0.3158 0.5000
Dy2 Dy 0.0000 0.5000 0.5000
Er1 Er 0.0000 0.1492 0.0000
```

Results
Raw total energy (eV/atom): -4.582
Energy relative to the elements (eV/atom): 0.117
Crystal system: orthorhombic

No. 7
# CdHgMo4

A geometry-optimized CdHgMo4 structure (GGA-PBE, the Alexandria database).

Structure (CIF):
```
data_CdHgMo4
_chemical_formula_sum 'Cd4 Hg4 Mo16'
_space_group_name_H-M_alt 'F -4 3 m'
_space_group_IT_number 216
_space_group_name_Hall 'F -4 2 3'
_cell_length_a 7.5676
_cell_length_b 7.5676
_cell_length_c 7.5676
_cell_angle_alpha 90.00
_cell_angle_beta 90.00
_cell_angle_gamma 90.00
loop_
_atom_site_label
_atom_site_type_symbol
_atom_site_fract_x
_atom_site_fract_y
_atom_site_fract_z
Cd1 Cd 0.0000 0.0000 0.0000
Hg1 Hg 0.2500 0.2500 0.7500
Mo1 Mo 0.1248 0.1248 0.3752
```

Results
Raw total energy (eV/atom): -6.826
Energy relative to the elements (eV/atom): 0.597
Crystal system: cubic

No. 8
# NdHoMgZr

A geometry-optimized NdHoMgZr structure (GGA-PBE, the Alexandria database).

Structure (CIF):
```
data_NdHoMgZr
_chemical_formula_sum 'Nd4 Ho4 Mg4 Zr4'
_space_group_name_H-M_alt 'F -4 3 m'
_space_group_IT_number 216
_space_group_name_Hall 'F -4 2 3'
_cell_length_a 7.6300
_cell_length_b 7.6300
_cell_length_c 7.6300
_cell_angle_alpha 90.00
_cell_angle_beta 90.00
_cell_angle_gamma 90.00
loop_
_atom_site_label
_atom_site_type_symbol
_atom_site_fract_x
_atom_site_fract_y
_atom_site_fract_z
Nd1 Nd 0.0000 0.0000 0.0000
Ho1 Ho 0.0000 0.0000 0.5000
Mg1 Mg 0.2500 0.2500 0.7500
Zr1 Zr 0.2500 0.2500 0.2500
```

Results
Raw total energy (eV/atom): -4.738
Energy relative to the elements (eV/atom): 0.134
Crystal system: cubic

No. 9
# BeCo2Tc

A geometry-optimized BeCo2Tc structure (GGA-PBE, the Alexandria database).

Structure (CIF):
```
data_BeCo2Tc
_chemical_formula_sum 'Be1 Co2 Tc1'
_space_group_name_H-M_alt 'P m m m'
_space_group_IT_number 47
_space_group_name_Hall '-P 2 2'
_cell_length_a 2.6650
_cell_length_b 4.0458
_cell_length_c 4.1642
_cell_angle_alpha 90.00
_cell_angle_beta 90.00
_cell_angle_gamma 90.00
loop_
_atom_site_label
_atom_site_type_symbol
_atom_site_fract_x
_atom_site_fract_y
_atom_site_fract_z
Be1 Be 0.0000 0.0000 0.0000
Co1 Co 0.0000 0.5000 0.5000
Co2 Co 0.5000 0.0000 0.5000
Tc1 Tc 0.5000 0.5000 0.0000
```

Results
Raw total energy (eV/atom): -6.964
Energy relative to the elements (eV/atom): 0.112
Crystal system: orthorhombic

No. 10
# Ac3SiBr

A geometry-optimized Ac3SiBr structure (GGA-PBE, the Alexandria database).

Structure (CIF):
```
data_Ac3SiBr
_chemical_formula_sum 'Ac12 Si4 Br4'
_space_group_name_H-M_alt 'P 1 21/c 1'
_space_group_IT_number 14
_space_group_name_Hall '-P 2ybc'
_cell_length_a 8.6878
_cell_length_b 6.9253
_cell_length_c 12.5493
_cell_angle_alpha 90.00
_cell_angle_beta 107.53
_cell_angle_gamma 90.00
loop_
_atom_site_label
_atom_site_type_symbol
_atom_site_fract_x
_atom_site_fract_y
_atom_site_fract_z
Ac1 Ac 0.0566 0.1408 0.1997
Ac2 Ac 0.3599 0.2032 0.9814
Ac3 Ac 0.3830 0.6081 0.1949
Si1 Si 0.3041 0.6318 0.8826
Br1 Br 0.0237 0.7483 0.0648
```

Results
Raw total energy (eV/atom): -4.496
E_form (uncorrected) (kJ/mol of formula units): -295
Crystal system: monoclinic

No. 11
# TbSm4Tl3

A geometry-optimized TbSm4Tl3 structure (GGA-PBE, the Alexandria database).

Structure (CIF):
```
data_TbSm4Tl3
_chemical_formula_sum 'Tb3 Sm12 Tl9'
_space_group_name_H-M_alt 'R -3 m'
_space_group_IT_number 166
_space_group_name_Hall '-R 3 2"'
_cell_length_a 5.4625
_cell_length_b 5.4625
_cell_length_c 28.0461
_cell_angle_alpha 90.00
_cell_angle_beta 90.00
_cell_angle_gamma 120.00
loop_
_atom_site_label
_atom_site_type_symbol
_atom_site_fract_x
_atom_site_fract_y
_atom_site_fract_z
Tb1 Tb 0.0000 0.0000 0.0000
Sm1 Sm 0.0000 0.0000 0.1308
Sm2 Sm 0.0000 0.0000 0.3878
Tl1 Tl 0.0000 0.0000 0.2663
Tl2 Tl 0.0000 0.0000 0.5000
```

Results
Raw total energy (eV/atom): -4.061
Energy relative to the elements (eV/atom): -0.236
Crystal system: trigonal